No. 1
Li2Fe2I: optimized geometry, PBE.

Results
Distance to the lowest polymorph of the same formula in meV per atom: 0.0

abc: 6.752 6.752 3.816
angles: 90.00 90.00 90.00
Atoms (fractional coordinates):
Li: 0.164 0.336 0.000
Li: 0.336 0.836 0.000
Li: 0.664 0.164 0.000
Li: 0.836 0.664 0.000
Fe: 0.118 0.618 0.500
Fe: 0.382 0.118 0.500
Fe: 0.618 0.882 0.500
Fe: 0.882 0.382 0.500
I: 0.000 0.000 0.500
I: 0.500 0.500 0.500

---

No. 2
Li2Fe2I7: optimized geometry, PBE.

Results
Electronic total energy in eV/cell: -36.04

abc: 11.536 11.536 11.536
angles: 160.84 60.25 123.47
Atoms (fractional coordinates):
Li: 0.000 0.000 0.000
Li: 0.752 0.252 0.500
Fe: 0.288 0.905 0.383
Fe: 0.522 0.905 0.617
I: 0.026 0.427 0.599
I: 0.096 0.281 0.815
I: 0.285 0.785 0.500
I: 0.466 0.281 0.185
I: 0.481 0.585 0.895
I: 0.690 0.585 0.105
I: 0.828 0.427 0.401

---

No. 3
LiFe2I8: optimized geometry, PBE.

Results
Electronic total energy in eV/cell: -33.91

abc: 8.254 8.254 7.731
angles: 90.00 90.00 120.00
Atoms (fractional coordinates):
Li: 0.000 0.000 0.000
Fe: 0.333 0.667 0.652
Fe: 0.667 0.333 0.348
I: 0.164 0.329 0.752
I: 0.164 0.836 0.752
I: 0.329 0.164 0.248
I: 0.333 0.667 0.327
I: 0.667 0.333 0.673
I: 0.671 0.836 0.752
I: 0.836 0.164 0.248
I: 0.836 0.671 0.248

---

No. 4
LiFe3I: optimized geometry, PBE.

Results
Distance to the lowest polymorph of the same formula in meV per atom: 0.0

abc: 4.268 4.268 4.268
angles: 90.00 90.00 90.00
Atoms (fractional coordinates):
Li: 0.000 0.000 0.000
Fe: 0.000 0.000 0.500
Fe: 0.000 0.500 0.000
Fe: 0.500 0.000 0.000
I: 0.500 0.500 0.500